Entry from Alexandria via LeMat-Bulk: a relaxed SiNi4B crystal (PBE).

Unit cell a=4.553 b=6.462 c=4.369 alpha=90.00 beta=107.66 gamma=90.00
Atoms (fractional coordinates):
Si1 0.000 0.000 0.000
Si2 0.000 0.500 0.500
Ni1 0.141 0.155 0.575
Ni2 0.141 0.345 0.075
Ni3 0.382 0.667 0.351
Ni4 0.382 0.833 0.851
Ni5 0.618 0.167 0.149
Ni6 0.618 0.333 0.649
Ni7 0.859 0.655 0.925
Ni8 0.859 0.845 0.425
B1 0.500 0.000 0.500
B2 0.500 0.500 0.000

space-group type	P2_1/c
ΔE_f (raw)	-0.235	eV/atom
crystal system	monoclinic
E	-73.28	eV/cell

=====

Entry from Alexandria via LeMat-Bulk: a relaxed La2NiH4 crystal (PBE).

Unit cell a=7.681 b=7.681 c=7.681 alpha=153.97 beta=153.97 gamma=37.14
Atoms (fractional coordinates):
La1 0.141 0.141 0.000
La2 0.859 0.859 0.000
Ni1 0.500 0.500 0.000
H1 0.000 0.500 0.500
H2 0.311 0.311 0.000
H3 0.500 0.000 0.500
H4 0.689 0.689 0.000

space-group type	I4/mmm
crystal system	tetragonal
E	-31.95	eV/cell